1.
# Re2TeAs

Re2TeAs after structural relaxation (GGA-PBEsol, Alexandria via LeMat-Bulk).

Calculated values
Energy above the lowest structure with this stoichiometry ... 3.38 eV per formula unit
Formation energy without anion corrections ... 1.066 eV/atom
DOS(E_F) ... 4.7 states/eV/cell
V ... 68.1 Å³/f.u.

Lattice parameters (Å, degrees): 4.5835 4.5835 4.5835 60.00 60.00 60.00
Element x y z (fractional)
Re  0.0000  0.0000  0.0000
Re  0.2500  0.2500  0.2500
Te  0.5000  0.5000  0.5000
As  0.7500  0.7500  0.7500

---

2.
# Cs2ScHgI6

Cs2ScHgI6 after structural relaxation (GGA-PBEsol, Alexandria via LeMat-Bulk).

Calculated values
Formation energy without anion corrections ... -1.100 eV/atom
DOS(E_F) ... 4.1 states/eV/cell
V ... 423.9 Å³/f.u.

Lattice parameters (Å, degrees): 8.4317 8.4317 8.4317 60.00 60.00 60.00
Element x y z (fractional)
Cs  0.2500  0.2500  0.2500
Cs  0.7500  0.7500  0.7500
Sc  0.0000  0.0000  0.0000
Hg  0.5000  0.5000  0.5000
I  0.2399  0.2399  0.7601
I  0.2399  0.7601  0.2399
I  0.2399  0.7601  0.7601
I  0.7601  0.2399  0.2399
I  0.7601  0.2399  0.7601
I  0.7601  0.7601  0.2399

---

3.
# HfBeTlF2

HfBeTlF2 after structural relaxation (GGA-PBEsol, Alexandria via LeMat-Bulk).

Calculated values
Formation energy without anion corrections ... -1.371 eV/atom
DOS(E_F) ... 2.1 states/eV/cell
V ... 88.3 Å³/f.u.

Lattice parameters (Å, degrees): 4.0339 4.0339 5.4271 90.00 90.00 90.00
Element x y z (fractional)
Hf  0.0000  0.0000  0.0000
Be  0.0000  0.0000  0.5000
Tl  0.5000  0.5000  0.5000
F  0.0000  0.5000  0.0000
F  0.5000  0.0000  0.0000

---

4.
# CaAlSeS2

CaAlSeS2 after structural relaxation (GGA-PBEsol, Alexandria via LeMat-Bulk).

Calculated values
Formation energy without anion corrections ... -0.519 eV/atom
DOS(E_F) ... 2.5 states/eV/cell
V ... 216.2 Å³/f.u.

Lattice parameters (Å, degrees): 4.3143 4.3143 11.6137 90.00 90.00 90.00
Element x y z (fractional)
Ca  0.0000  0.0000  0.0000
Al  0.0000  0.0000  0.5000
Se  0.5000  0.5000  0.0000
S  0.0000  0.5000  0.5000
S  0.5000  0.0000  0.5000

---

5.
# Li2WS4

Li2WS4 after structural relaxation (GGA-PBEsol, Alexandria via LeMat-Bulk).

Calculated values
Energy above the lowest structure with this stoichiometry ... 0.17 eV per formula unit
Formation energy without anion corrections ... -0.795 eV/atom
DOS(E_F) ... 0.0 states/eV/cell
V ... 191.9 Å³/f.u.

Lattice parameters (Å, degrees): 5.9669 5.9669 5.3896 90.00 90.00 90.00
Element x y z (fractional)
Li  0.0000  0.5000  0.0000
Li  0.5000  0.0000  0.0000
W  0.0000  0.0000  0.0000
S  0.2145  0.2145  0.7695
S  0.2145  0.7855  0.2305
S  0.7855  0.2145  0.2305
S  0.7855  0.7855  0.7695

---

6.
# CaFeO3

CaFeO3 after structural relaxation (GGA-PBEsol, Alexandria via LeMat-Bulk).

Calculated values
Formation energy without anion corrections ... -2.054 eV/atom
DOS(E_F) ... 6.2 states/eV/cell
V ... 50.9 Å³/f.u.

Lattice parameters (Å, degrees): 5.2607 7.4021 5.2326 90.00 90.00 90.00
Element x y z (fractional)
Ca  0.0360  0.2500  0.0064
Ca  0.4640  0.7500  0.5064
Ca  0.5360  0.2500  0.4936
Ca  0.9640  0.7500  0.9936
Fe  0.0000  0.0000  0.5000
Fe  0.0000  0.5000  0.5000
Fe  0.5000  0.0000  0.0000
Fe  0.5000  0.5000  0.0000
O  0.0084  0.7500  0.4381
O  0.2157  0.5322  0.7846
O  0.2157  0.9678  0.7846
O  0.2843  0.0322  0.2846
O  0.2843  0.4678  0.2846
O  0.4916  0.2500  0.9381
O  0.5084  0.7500  0.0619
O  0.7157  0.5322  0.7154
O  0.7157  0.9678  0.7154
O  0.7843  0.0322  0.2154
O  0.7843  0.4678  0.2154
O  0.9916  0.2500  0.5619

---

7.
# La2RuSe

La2RuSe after structural relaxation (GGA-PBEsol, Alexandria via LeMat-Bulk).

Calculated values
Formation energy without anion corrections ... -0.810 eV/atom
DOS(E_F) ... 1.2 states/eV/cell
V ... 92.3 Å³/f.u.

Lattice parameters (Å, degrees): 5.1218 5.1218 3.5171 90.07 90.07 90.00
Element x y z (fractional)
La  0.0000  0.5000  0.0000
La  0.5000  0.0000  0.0000
Ru  0.0000  0.0000  0.5000
Se  0.5000  0.5000  0.5000

---

8.
# MnAlAg2

MnAlAg2 after structural relaxation (GGA-PBEsol, Alexandria via LeMat-Bulk).

Calculated values
Formation enthalpy at 0 K ... 2.79 kcal/mol of atoms
DOS(E_F) ... 2.0 states/eV/cell
V ... 61.9 Å³/f.u.

Lattice parameters (Å, degrees): 3.1239 4.4456 4.4594 90.00 90.00 90.00
Element x y z (fractional)
Mn  0.0000  0.0000  0.0000
Al  0.5000  0.5000  0.0000
Ag  0.0000  0.5000  0.5000
Ag  0.5000  0.0000  0.5000

---

9.
# Zn2Ag

Zn2Ag after structural relaxation (GGA-PBEsol, Alexandria via LeMat-Bulk).

Calculated values
Formation enthalpy at 0 K ... -1.22 kcal/mol of atoms
DOS(E_F) ... 1.3 states/eV/cell
V ... 43.8 Å³/f.u.

Lattice parameters (Å, degrees): 4.9845 4.9845 4.9845 60.00 60.00 60.00
Element x y z (fractional)
Zn  0.0000  0.0000  0.0000
Zn  0.0000  0.0000  0.5000
Zn  0.0000  0.5000  0.0000
Zn  0.5000  0.0000  0.0000
Ag  0.3750  0.3750  0.3750
Ag  0.6250  0.6250  0.6250

---

10.
# YZrBe

YZrBe after structural relaxation (GGA-PBEsol, Alexandria via LeMat-Bulk).

Calculated values
Formation enthalpy at 0 K ... 2.09 kcal/mol of atoms
DOS(E_F) ... 2.7 states/eV/cell
V ... 60.2 Å³/f.u.

Lattice parameters (Å, degrees): 6.1421 6.1421 6.1421 149.29 149.29 43.98
Element x y z (fractional)
Y  0.0000  0.0000  0.0000
Zr  0.2917  0.2917  0.0000
Be  0.6651  0.6651  0.0000

---

11.
# CdSb2Pt2

CdSb2Pt2 after structural relaxation (GGA-PBEsol, Alexandria via LeMat-Bulk).

Calculated values
Formation energy without anion corrections ... -0.116 eV/atom
DOS(E_F) ... 2.3 states/eV/cell
V ... 111.7 Å³/f.u.

Lattice parameters (Å, degrees): 7.9536 7.9536 7.9536 151.87 151.87 40.21
Element x y z (fractional)
Cd  0.0000  0.0000  0.0000
Sb  0.3763  0.3763  0.0000
Sb  0.6237  0.6237  0.0000
Pt  0.2500  0.7500  0.5000
Pt  0.7500  0.2500  0.5000

---

12.
# Tl2HgAs

Tl2HgAs after structural relaxation (GGA-PBEsol, Alexandria via LeMat-Bulk).

Calculated values
Energy above the lowest structure with this stoichiometry ... 0.00 eV per formula unit
Formation enthalpy at 0 K ... 1.47 kcal/mol of atoms
DOS(E_F) ... 1.3 states/eV/cell
V ... 107.9 Å³/f.u.

Lattice parameters (Å, degrees): 7.2797 7.2797 7.2797 34.07 34.07 34.07
Element x y z (fractional)
Tl  0.2400  0.2400  0.2400
Tl  0.7600  0.7600  0.7600
Hg  0.0000  0.0000  0.0000
As  0.5000  0.5000  0.5000